A plane-wave DFT calculation with PBE was carried out for a relaxed Y3CSe2 crystal.

Values from the calculation:
ΔE_f (raw)	-1366	meV per atom
SG	No. 71

a b c (Å): 7.0047 7.0047 7.0047
angles (deg): 148.48 133.05 57.65
With the nearest neighbours (Å) after each atom.
Fractional positions:
Y1 0.0000 0.0000 0.0000  2 C 2.79, 4 Se 2.87
Y2 0.3664 0.3664 0.0000  2 C 2.51
Y3 0.6336 0.6336 0.0000  2 C 2.51
C1 0.5000 0.0000 0.5000  6 Y 2.51-2.79
Se1 0.1756 0.6756 0.5000  6 Y 2.84-3.02
Se2 0.8244 0.3244 0.5000  6 Y 2.84-3.02

=====

A plane-wave DFT calculation with PBE was carried out for a relaxed Y4CSe crystal.

Values from the calculation:
ΔE_f (raw)	-725	meV per atom
polymorph energy (0 for the lowest one)	0.000	eV/atom
SG	No. 15

a b c (Å): 8.3809 8.3809 6.4926
angles (deg): 105.08 105.08 124.84
With the nearest neighbours (Å) after each atom.
Fractional positions:
Y1 0.0202 0.3925 0.2349  1 C 2.47
Y2 0.1558 0.2728 0.7128  2 C 2.49-2.56
Y3 0.2728 0.1558 0.2128  2 C 2.49-2.56
Y4 0.3925 0.0202 0.7349  1 C 2.47
Y5 0.6075 0.9798 0.2651  1 C 2.47
Y6 0.7272 0.8442 0.7872  2 C 2.49-2.56
Y7 0.8442 0.7272 0.2872  2 C 2.49-2.56
Y8 0.9798 0.6075 0.7651  1 C 2.47
C1 0.0632 0.9368 0.7500  6 Y 2.47-2.56
C2 0.9368 0.0632 0.2500  6 Y 2.47-2.56
Se1 0.4282 0.5718 0.2500  6 Y 2.80-2.90
Se2 0.5718 0.4282 0.7500  6 Y 2.80-2.90

=====

A plane-wave DFT calculation with PBE was carried out for a relaxed YCSe2 crystal.

Values from the calculation:
ΔE_f (raw)	372	meV per atom
SG	No. 122

a b c (Å): 7.2411 7.2411 7.2411
angles (deg): 134.17 134.17 66.82
With the nearest neighbours (Å) after each atom.
Fractional positions:
Y1 0.0000 0.0000 0.0000  4 Se 2.80
Y2 0.7500 0.2500 0.5000  4 Se 2.80
C1 0.2500 0.7500 0.5000  4 Se 2.26
C2 0.5000 0.5000 0.0000  4 Se 2.26
Se1 0.2108 0.6250 0.0858  2 C 2.26
Se2 0.3750 0.4608 0.5858  2 C 2.26
Se3 0.5392 0.1250 0.9142  2 C 2.26
Se4 0.8750 0.7892 0.4142  2 C 2.26

=====

A plane-wave DFT calculation with PBE was carried out for a relaxed Y8C3Se2 crystal.

Values from the calculation:
ΔE_f (raw)	-692	meV per atom
SG	No. 12

a b c (Å): 7.8866 7.8866 6.4153
angles (deg): 105.45 105.45 55.29
With the nearest neighbours (Å) after each atom.
Fractional positions:
Y1 0.0978 0.0978 0.4057  2 C 2.46
Y2 0.1592 0.6388 0.1082  2 C 2.48-2.49
Y3 0.3612 0.8408 0.8918  2 C 2.48-2.49
Y4 0.4013 0.4013 0.6015  3 C 2.50-2.51
Y5 0.5987 0.5987 0.3985  3 C 2.50-2.51
Y6 0.6388 0.1592 0.1082  2 C 2.48-2.49
Y7 0.8408 0.3612 0.8918  2 C 2.48-2.49
Y8 0.9022 0.9022 0.5943  2 C 2.46
C1 0.2490 0.7510 0.5000  6 Y 2.46-2.50
C2 0.5000 0.5000 0.0000  6 Y 2.48-2.51
C3 0.7510 0.2490 0.5000  6 Y 2.46-2.50
Se1 0.2455 0.2455 0.1658  6 Y 2.88-2.98
Se2 0.7545 0.7545 0.8342  6 Y 2.88-2.98

=====

A plane-wave DFT calculation with PBE was carried out for a relaxed Y3CSe crystal.

Values from the calculation:
ΔE_f (raw)	-721	meV per atom
polymorph energy (0 for the lowest one)	0.184	eV/atom
SG	No. 63

a b c (Å): 9.0515 9.0515 7.2399
angles (deg): 90.00 90.00 156.24
With the nearest neighbours (Å) after each atom.
Fractional positions:
Y1 0.0098 0.9902 0.7500  1 C 2.25
Y2 0.3531 0.6469 0.5362  2 C 2.48
Y3 0.3531 0.6469 0.9638  2 C 2.48
Y4 0.6469 0.3531 0.0362  2 C 2.48
Y5 0.6469 0.3531 0.4638  2 C 2.48
Y6 0.9902 0.0098 0.2500  1 C 2.25
C1 0.1175 0.8825 0.2500  5 Y 2.25-2.48
C2 0.8825 0.1175 0.7500  5 Y 2.25-2.48
Se1 0.2025 0.7975 0.7500  6 Y 2.96-3.08
Se2 0.7975 0.2025 0.2500  6 Y 2.96-3.08

=====

A plane-wave DFT calculation with PBE was carried out for a relaxed YCSe2 crystal.

Values from the calculation:
ΔE_f (raw)	914	meV per atom
SG	No. 166

a b c (Å): 8.4176 8.4176 8.4176
angles (deg): 23.62 23.62 23.62
With the nearest neighbours (Å) after each atom.
Fractional positions:
Y1 0.0000 0.0000 0.0000  2 Se 2.78
C1 0.5000 0.5000 0.5000  6 Se 2.38
Se1 0.1132 0.1132 0.1132  3 C 2.38
Se2 0.8868 0.8868 0.8868  3 C 2.38

=====

no.,magnetization (μB per formula unit),DOS at the Fermi energy (states/eV/f.u.)
1,0.00,1.7
2,0.00,6.0
3,0.38,4.1
4,0.00,11.7
5,0.00,3.2
6,0.00,2.6